Entry 1:
The following is a GGA-PBE calculation of BaZr2Pb after structural relaxation, from Alexandria via LeMat-Bulk.

The structure in extended XYZ format:
```
4
Lattice="3.9036 0.0000 0.0000 0.0000 3.9036 0.0000 0.0000 0.0000 7.8831" Properties=species:S:1:pos:R:3 pbc="T T T"
Ba 0.0000 0.0000 0.0000
Zr 1.9518 1.9518 2.5495
Zr 1.9518 1.9518 5.3336
Pb 0.0000 0.0000 3.9416
```

Summary:
DOS at the Fermi energy   1.717 states/eV per atom
Symmetry   P4/mmm (123)
Formation enthalpy at 0 K   0.254 eV per atom

---

Entry 2:
The following is a GGA-PBE calculation of KRb2NpI6 after structural relaxation, from Alexandria via LeMat-Bulk.

The structure in extended XYZ format:
```
20
Lattice="8.5763 0.0000 0.0000 0.0000 9.2916 0.0000 -8.5560 0.0000 12.5062" Properties=species:S:1:pos:R:3 pbc="T T T"
K 0.0000 0.0000 0.0000
K -4.2780 4.6458 6.2531
Rb -4.5609 0.7964 9.3856
Rb -0.2829 3.8494 3.1325
Rb 0.3032 5.4422 9.3737
Rb 4.5812 8.4952 3.1206
Np 0.0101 0.0000 6.2531
Np 4.2882 4.6458 0.0000
I -2.5163 1.6750 5.5030
I -6.7943 2.9709 11.7561
I -1.4318 6.6196 5.4812
I -5.7098 7.3178 11.7343
I 1.0430 0.3879 3.3310
I -3.2350 4.2579 9.5841
I 3.2553 5.0337 2.9222
I -1.0227 8.9037 9.1753
I 5.7301 1.9738 0.7719
I 1.4521 2.6720 7.0251
I 6.8146 6.3208 0.7501
I 2.5366 7.6167 7.0032
```

Summary:
DOS at the Fermi energy   0.399 states/eV per atom
Symmetry   P2_1/c (14)
Formation energy without anion corrections   -1.26 eV per atom

---

Entry 3:
The following is a GGA-PBE calculation of NaThTeSe after structural relaxation, from Alexandria via LeMat-Bulk.

The structure in extended XYZ format:
```
4
Lattice="2.0919 1.2077 7.9588 -2.0919 1.2077 7.9588 0.0000 -2.4155 7.9588" Properties=species:S:1:pos:R:3 pbc="T T T"
Na 0.0000 0.0000 0.0000
Th 0.0000 0.0000 3.7990
Te 0.0000 0.0000 13.8329
Se 0.0000 0.0000 9.9498
```

Summary:
DOS at the Fermi energy   0.003 states/eV per atom
Symmetry   R3m (160)
Formation energy without anion corrections   -1.28 eV per atom